Entry 1:
Below is Dy2Co2Si2H after structural relaxation, with properties calculated at the GGA-PBE level.

The calculation puts the density of states at the Fermi level at 0.743 states/eV/atom. The value obtained for the size of the total moment is 0.0 μB/f.u. Its crystal system is monoclinic. The value obtained for the total energy is -6.0609 eV per atom.

The structure belongs to space group C2/m (No. 12); the cell edges are 10.2139, 3.9846 and 6.7855 Å and the angles 90.00°, 130.75° and 90.00°. The inequivalent atoms are Dy at (0.0544, 0.0000, 0.2914), Co at (0.2045, 0.5000, 0.0963), Si at (0.1624, 0.5000, 0.7135) and H at (0.0000, 0.5000, 0.0000).

Entry 2:
Below is Ca2CdCoH after structural relaxation, with properties calculated at the GGA-PBE level.

The calculation puts the density of states at the Fermi level at 0.507 states/eV/atom. The value obtained for the size of the total moment is 0.6 μB/f.u. Its crystal system is tetragonal. The value obtained for the total energy is -3.1683 eV per atom.

The structure belongs to space group P4/mmm (No. 123); the cell edges are 5.1322, 5.1322 and 3.6082 Å and the angles 90.00°, 90.00° and 90.00°. The inequivalent atoms are Ca at (0.0000, 0.5000, 0.0000), Cd at (0.0000, 0.0000, 0.5000), Co at (0.5000, 0.5000, 0.5000) and H at (0.5000, 0.5000, 0.0000).

Entry 3:
Below is La2BeRePt after structural relaxation, with properties calculated at the GGA-PBE level.

The formation energy is 281 meV per atom. The calculation puts the density of states at the Fermi level at 1.000 states/eV/atom. The value obtained for the size of the total moment is 0.0 μB/f.u. Its crystal system is tetragonal.

The structure belongs to space group P4/mmm (No. 123); the cell edges are 5.3573, 5.3573 and 4.1054 Å and the angles 90.00°, 90.00° and 90.00°. The inequivalent atoms are La at (0.0000, 0.5000, 0.0000), Be at (0.0000, 0.0000, 0.0000), Re at (0.0000, 0.0000, 0.5000) and Pt at (0.5000, 0.5000, 0.5000).